Record 1
The following is a DFT calculation (PBEsol) of an optimized crystal structure of ScHg2Au.

Results
Volume = 80 Å³/cell
Total magnetic moment = 0.0 μB/cell
DFT formation energy = -402 meV per atom

Unit cell a=3.4524 b=3.4544 c=6.6984 alpha=90.00 beta=90.01 gamma=90.00
With the nearest neighbours (Å) after each atom.
Sites, in units of the cell vectors:
Sc1 0.9998 0.0000 0.5218  4 Au 2.82, 5 Hg 3.01-3.12
Hg1 0.9999 0.0000 0.9879  4 Au 2.99, 4 Hg 3.04, 1 Sc 3.12
Au1 0.4999 0.5000 0.7313  4 Sc 2.82, 4 Hg 2.99
Hg2 0.5003 0.5000 0.2590  4 Sc 3.01, 4 Hg 3.04, 1 Au 3.16


Record 2
The following is a DFT calculation (PBEsol) of an optimized crystal structure of Sc2HgAu.

Results
Volume = 79 Å³/cell
Total magnetic moment = 0.0 μB/cell
DFT formation energy = -682 meV per atom

Unit cell a=3.3782 b=3.3782 c=6.9257 alpha=90.00 beta=90.00 gamma=90.00
With the nearest neighbours (Å) after each atom.
Sites, in units of the cell vectors:
Sc1 0.0000 0.0000 0.2376  4 Au 2.90, 4 Hg 3.00
Sc2 0.0000 0.0000 0.7624  4 Au 2.90, 4 Hg 3.00
Au1 0.5000 0.5000 0.0000  8 Sc 2.90
Hg1 0.5000 0.5000 0.5000  8 Sc 3.00


Record 3
The following is a DFT calculation (PBEsol) of an optimized crystal structure of Sc2HgAu.

Results
Volume = 79 Å³/cell
Total magnetic moment = 0.0 μB/cell
DFT formation energy = -676 meV per atom

Unit cell a=3.3506 b=4.7738 c=4.9209 alpha=90.00 beta=89.97 gamma=90.00
With the nearest neighbours (Å) after each atom.
Sites, in units of the cell vectors:
Au1 0.3752 0.0000 0.4208  8 Sc 2.88-3.07, 2 Hg 3.13
Sc1 0.8744 0.0000 0.8979  4 Au 2.88-3.07, 4 Hg 2.93-2.94
Sc2 0.8756 0.5000 0.3503  4 Hg 2.90-3.06, 4 Au 2.94
Hg1 0.3748 0.5000 0.8310  8 Sc 2.90-3.06, 2 Au 3.13


Record 4
The following is a DFT calculation (PBEsol) of an optimized crystal structure of Hg2AuSe.

Results
Volume = 89 Å³/cell
Total magnetic moment = 0.0 μB/cell
Energy = -2.0612 eV/atom

Unit cell a=3.8720 b=3.8720 c=5.9405 alpha=90.00 beta=90.00 gamma=90.00
With the nearest neighbours (Å) after each atom.
Sites, in units of the cell vectors:
Au1 0.0000 0.0000 0.5000  4 Se 2.74
Hg1 0.0000 0.5000 0.0000  4 Hg 2.74
Hg2 0.5000 0.0000 0.0000  4 Hg 2.74
Se1 0.5000 0.5000 0.5000  4 Au 2.74